# 1
# Sr2TlCI, optimized geometry, DFT PBE-GGA
# E   -0.1055 hartree per atom
# Spin magnetization   0.0 μB per formula unit
# Volume   35.95 Å³ per atom
data_Sr2TlCI
_cell_length_a 6.347
_cell_length_b 6.347
_cell_length_c 4.461
_cell_angle_alpha 90.00
_cell_angle_beta 90.00
_cell_angle_gamma 90.00
_symmetry_space_group_name_H-M 'P 4/m m m'
_symmetry_Int_Tables_number 123
_symmetry_space_group_name_Hall '-P 4 2'
loop_
_atom_site_label
_atom_site_type_symbol
_atom_site_fract_x
_atom_site_fract_y
_atom_site_fract_z
_atom_site_occupancy
Sr1 Sr 0.000 0.500 0.000 1
Tl1 Tl 0.000 0.000 0.000 1
C1 C 0.000 0.000 0.500 1
I1 I 0.500 0.500 0.500 1


# 2
# Sr2YCI, optimized geometry, DFT PBE-GGA
# E   -0.1341 hartree per atom
# Spin magnetization   0.0 μB per formula unit
# Volume   39.95 Å³ per atom
data_Sr2YCI
_cell_length_a 6.786
_cell_length_b 6.786
_cell_length_c 4.338
_cell_angle_alpha 90.00
_cell_angle_beta 90.00
_cell_angle_gamma 90.00
_symmetry_space_group_name_H-M 'P 4/m m m'
_symmetry_Int_Tables_number 123
_symmetry_space_group_name_Hall '-P 4 2'
loop_
_atom_site_label
_atom_site_type_symbol
_atom_site_fract_x
_atom_site_fract_y
_atom_site_fract_z
_atom_site_occupancy
Sr1 Sr 0.000 0.500 0.000 1
Y1 Y 0.000 0.000 0.000 1
C1 C 0.000 0.000 0.500 1
I1 I 0.500 0.500 0.500 1


# 3
# TaCI3, optimized geometry, DFT PBE-GGA
# Spin magnetization   2.9 μB per formula unit
# Volume   33.61 Å³ per atom
# Energy above the most stable polymorph in this dataset   0.000 eV/atom
data_TaCI3
_cell_length_a 5.518
_cell_length_b 5.518
_cell_length_c 5.518
_cell_angle_alpha 90.00
_cell_angle_beta 90.00
_cell_angle_gamma 90.00
_symmetry_space_group_name_H-M 'P m -3 m'
_symmetry_Int_Tables_number 221
_symmetry_space_group_name_Hall '-P 4 2 3'
loop_
_atom_site_label
_atom_site_type_symbol
_atom_site_fract_x
_atom_site_fract_y
_atom_site_fract_z
_atom_site_occupancy
Ta1 Ta 0.000 0.000 0.000 1
C1 C 0.500 0.500 0.500 1
I1 I 0.000 0.000 0.500 1


- Which of these has the highest spin magnetization?
  TaCI3